(1)
Sm2Er3Sc7 | PBE | optimized geometry

Values from the calculation:
symmetry = P2/m (10)
energy relative to the elements = 0.11 eV per atom

a b c (Å): 5.4470 3.4329 17.7360
angles (deg): 90.00 93.04 90.00
Atoms (fractional coordinates):
1 Sm 0.2080 0.0000 0.2900
2 Sm 0.7920 0.0000 0.7100
3 Er 0.0000 0.0000 0.0000
4 Er 0.2763 0.5000 0.6284
5 Er 0.7237 0.5000 0.3716
6 Sc 0.1942 0.5000 0.1400
7 Sc 0.2428 0.0000 0.4621
8 Sc 0.3055 0.0000 0.8297
9 Sc 0.5000 0.5000 0.0000
10 Sc 0.6945 0.0000 0.1703
11 Sc 0.7572 0.0000 0.5379
12 Sc 0.8058 0.5000 0.8600

(2)
NiPdW2 | PBE | optimized geometry

Values from the calculation:
symmetry = R-3m (166)
energy relative to the elements = 0.59 eV per atom
excess energy over the best structure of this formula in the dataset = 78.6 meV per atom

a b c (Å): 9.7684 9.7684 9.7684
angles (deg): 16.09 16.09 16.09
Atoms (fractional coordinates):
1 Ni 0.0000 0.0000 0.0000
2 Pd 0.5000 0.5000 0.5000
3 W 0.0859 0.0859 0.0859
4 W 0.9141 0.9141 0.9141

(3)
LiPmInPt | PBE | optimized geometry

Values from the calculation:
symmetry = Cm (8)
energy relative to the elements = -0.53 eV per atom
excess energy over the best structure of this formula in the dataset = 181.8 meV per atom

a b c (Å): 4.7225 4.7225 4.9800
angles (deg): 91.93 91.93 58.35
Atoms (fractional coordinates):
1 Li 0.0000 0.0000 0.0000
2 Pm 0.6686 0.6686 0.6984
3 In 0.3247 0.3247 0.2649
4 Pt 0.9908 0.9908 0.4844

(4)
Sn2Sb2Br | PBE | optimized geometry

Values from the calculation:
symmetry = P4/mbm (127)
formation energy from raw total energies = 22 meV/atom
excess energy over the best structure of this formula in the dataset = 129.3 meV per atom

a b c (Å): 8.9451 8.9451 3.6295
angles (deg): 90.00 90.00 90.00
Atoms (fractional coordinates):
1 Sn 0.1466 0.3534 0.0000
2 Sn 0.3534 0.8534 0.0000
3 Sn 0.6466 0.1466 0.0000
4 Sn 0.8534 0.6466 0.0000
5 Sb 0.1462 0.6462 0.5000
6 Sb 0.3538 0.1462 0.5000
7 Sb 0.6462 0.8538 0.5000
8 Sb 0.8538 0.3538 0.5000
9 Br 0.0000 0.0000 0.5000
10 Br 0.5000 0.5000 0.5000

(5)
BaSiHg2Bi | PBE | optimized geometry

Values from the calculation:
symmetry = P4/mmm (123)
formation energy from raw total energies = 894 meV/atom

a b c (Å): 6.3594 6.3594 6.6167
angles (deg): 90.00 90.00 90.00
Atoms (fractional coordinates):
1 Ba 0.0000 0.0000 0.0000
2 Si 0.5000 0.5000 0.5000
3 Hg 0.0000 0.5000 0.0000
4 Hg 0.5000 0.0000 0.0000
5 Bi 0.0000 0.0000 0.5000

(6)
Dy2IrPb | PBE | optimized geometry

Values from the calculation:
symmetry = P4/mmm (123)
energy relative to the elements = -0.49 eV per atom
excess energy over the best structure of this formula in the dataset = 188.7 meV per atom

a b c (Å): 4.8839 4.8839 3.9603
angles (deg): 90.00 90.00 90.00
Atoms (fractional coordinates):
1 Dy 0.0000 0.5000 0.0000
2 Dy 0.5000 0.0000 0.0000
3 Ir 0.0000 0.0000 0.5000
4 Pb 0.5000 0.5000 0.5000

(7)
BaPSe3 | PBE | optimized geometry

Values from the calculation:
symmetry = Pm-3m (221)
formation energy from raw total energies = 979 meV/atom
excess energy over the best structure of this formula in the dataset = 1993.9 meV per atom

a b c (Å): 6.1867 6.1867 6.1867
angles (deg): 90.00 90.00 90.00
Atoms (fractional coordinates):
1 Ba 0.0000 0.0000 0.0000
2 P 0.5000 0.5000 0.5000
3 Se 0.0000 0.0000 0.5000
4 Se 0.0000 0.5000 0.0000
5 Se 0.5000 0.0000 0.0000

(8)
DyPa2NiN5 | PBE | optimized geometry

Values from the calculation:
symmetry = Cmc2_1 (36)
formation energy from raw total energies = -1088 meV/atom

a b c (Å): 6.9300 6.9300 10.0779
angles (deg): 90.00 90.00 151.39
Atoms (fractional coordinates):
1 Dy 0.1989 0.8011 0.5000
2 Dy 0.8011 0.1989 0.0000
3 Pa 0.1016 0.8984 0.1847
4 Pa 0.1331 0.8669 0.7996
5 Pa 0.8669 0.1331 0.2996
6 Pa 0.8984 0.1016 0.6847
7 Ni 0.4809 0.5191 0.9632
8 Ni 0.5191 0.4809 0.4632
9 N 0.0475 0.9525 0.5899
10 N 0.2799 0.7201 0.1919
11 N 0.3449 0.6551 0.8601
12 N 0.3737 0.6263 0.5108
13 N 0.4817 0.5183 0.2826
14 N 0.5183 0.4817 0.7826
15 N 0.6263 0.3737 0.0108
16 N 0.6551 0.3449 0.3601
17 N 0.7201 0.2799 0.6919
18 N 0.9525 0.0475 0.0899

(9)
LiTc2Hg | PBE | optimized geometry

Values from the calculation:
symmetry = F-43m (216)
energy relative to the elements = 0.34 eV per atom

a b c (Å): 4.4351 4.4351 4.4351
angles (deg): 60.00 60.00 60.00
Atoms (fractional coordinates):
1 Li 0.0000 0.0000 0.0000
2 Tc 0.2500 0.2500 0.2500
3 Tc 0.5000 0.5000 0.5000
4 Hg 0.7500 0.7500 0.7500

Here are the calculated D(E_F) numbers, same order: 17.09, 6.03, 3.76, 5.52, 2.64, 1.83, 11.70, 3.39, 2.51 (states/eV per cell).